No. 1
Here is a geometry-optimized YTa2Co9 structure from the Alexandria database. Energies are from GGA-PBE.

The structure belongs to space group R-3m (No. 166, hexagonal axes); the cell edges are 4.8122, 4.8122 and 23.4006 Å and the angles 90.00°, 90.00° and 120.00°. The inequivalent atoms are Y at (0.0000, 0.0000, 0.0000), Ta at (0.0000, 0.0000, 0.1411), Co at (0.0000, 0.0000, 0.3356), Co at (0.0000, 0.0000, 0.5000) and Co at (0.0070, 0.5035, 0.9136).

The calculation puts the total energy at -0.29422 Ha/atom. The value obtained for the total magnetization is 8.09 μB/f.u. The calculation puts the density of states at the Fermi level at 1.470 states/eV per atom. The crystal system is trigonal. As for the mass density: 10.4 g/cm³.

***

No. 2
Here is a geometry-optimized Y2TaCo structure from the Alexandria database. Energies are from GGA-PBE.

The structure belongs to space group I-42d (No. 122); the cell edges are 7.8803, 7.8803 and 5.7344 Å and the angles 90.00°, 90.00° and 90.00°. The inequivalent atoms are Y at (0.1929, 0.7500, 0.1250), Ta at (0.0000, 0.0000, 0.5000) and Co at (0.0000, 0.0000, 0.0000).

The calculation puts the total energy at -0.27136 Ha/atom. The value obtained for the total magnetization is 0.00 μB/f.u. The calculation puts the density of states at the Fermi level at 0.941 states/eV per atom. The energy above the most stable polymorph in this dataset is 545.1 meV/atom. The crystal system is tetragonal. As for the mass density: 7.8 g/cm³.

***

No. 3
Here is a geometry-optimized Y3TaCo structure from the Alexandria database. Energies are from GGA-PBE.

The structure belongs to space group Pm-3m (No. 221); the cell edges are 5.4119, 5.4119 and 5.4119 Å and the angles 90.00°, 90.00° and 90.00°. The inequivalent atoms are Y at (0.0000, 0.0000, 0.5000), Ta at (0.0000, 0.0000, 0.0000) and Co at (0.5000, 0.5000, 0.5000).

The calculation puts the total energy at -0.23994 Ha/atom. The value obtained for the total magnetization is 1.34 μB/f.u. The calculation puts the density of states at the Fermi level at 1.475 states/eV per atom. The energy above the most stable polymorph in this dataset is 603.0 meV/atom. The crystal system is cubic. As for the mass density: 5.3 g/cm³.

***

No. 4
Here is a geometry-optimized Y2TaCo structure from the Alexandria database. Energies are from GGA-PBE.

The structure belongs to space group P4mm (No. 99); the cell edges are 3.2319, 3.2319 and 8.5499 Å and the angles 90.00°, 90.00° and 90.00°. The inequivalent atoms are Y at (0.0000, 0.0000, 0.0000), Y at (0.5000, 0.5000, 0.3636), Ta at (0.5000, 0.5000, 0.7339) and Co at (0.0000, 0.0000, 0.6006).

The calculation puts the total energy at -0.29139 Ha/atom. The value obtained for the total magnetization is 0.00 μB/f.u. The calculation puts the density of states at the Fermi level at 1.440 states/eV per atom. The energy above the most stable polymorph in this dataset is 0.0 meV/atom. The crystal system is tetragonal. As for the mass density: 7.8 g/cm³.

***

No. 5
Here is a geometry-optimized YTa2Co structure from the Alexandria database. Energies are from GGA-PBE.

The structure belongs to space group P4/mmm (No. 123); the cell edges are 3.8943, 3.8943 and 4.9636 Å and the angles 90.00°, 90.00° and 90.00°. The inequivalent atoms are Y at (0.0000, 0.0000, 0.0000), Ta at (0.0000, 0.5000, 0.5000) and Co at (0.5000, 0.5000, 0.0000).

The calculation puts the total energy at -0.32811 Ha/atom. The value obtained for the total magnetization is 0.00 μB/f.u. The calculation puts the density of states at the Fermi level at 1.072 states/eV per atom. The energy above the most stable polymorph in this dataset is 321.4 meV/atom. The crystal system is tetragonal. As for the mass density: 11.2 g/cm³.

***

No. 6
Here is a geometry-optimized YTa2Co structure from the Alexandria database. Energies are from GGA-PBE.

The structure belongs to space group C2/m (No. 12); the cell edges are 5.3777, 9.8825 and 2.9603 Å and the angles 90.00°, 110.37° and 90.00°. The inequivalent atoms are Y at (0.0000, 0.0000, 0.0000), Ta at (0.2500, 0.2500, 0.5000) and Co at (0.0000, 0.5000, 0.0000).

The calculation puts the total energy at -0.32680 Ha/atom. The value obtained for the total magnetization is 0.02 μB/f.u. The calculation puts the density of states at the Fermi level at 1.230 states/eV per atom. The energy above the most stable polymorph in this dataset is 357.1 meV/atom. The crystal system is monoclinic. As for the mass density: 11.5 g/cm³.

***

No. 7
Here is a geometry-optimized YTa2Co structure from the Alexandria database. Energies are from GGA-PBE.

The structure belongs to space group R-3m (No. 166, hexagonal axes); the cell edges are 3.1285, 3.1285 and 27.0339 Å and the angles 90.00°, 90.00° and 120.00°. The inequivalent atoms are Y at (0.0000, 0.0000, 0.0000), Ta at (0.0000, 0.0000, 0.2329) and Co at (0.0000, 0.0000, 0.5000).

The calculation puts the total energy at -0.32817 Ha/atom. The value obtained for the total magnetization is 0.00 μB/f.u. The calculation puts the density of states at the Fermi level at 1.046 states/eV per atom. The energy above the most stable polymorph in this dataset is 319.8 meV/atom. The crystal system is trigonal. As for the mass density: 11.1 g/cm³.

***

No. 8
Here is a geometry-optimized YTa2Co structure from the Alexandria database. Energies are from GGA-PBE.

The structure belongs to space group R3m (No. 160, hexagonal axes); the cell edges are 3.1391, 3.1391 and 26.8332 Å and the angles 90.00°, 90.00° and 120.00°. The inequivalent atoms are Y at (0.0000, 0.0000, 0.0000), Ta at (0.0000, 0.0000, 0.2335), Ta at (0.0000, 0.0000, 0.4815) and Co at (0.0000, 0.0000, 0.7514).

The calculation puts the total energy at -0.33067 Ha/atom. The value obtained for the total magnetization is 0.21 μB/f.u. The calculation puts the density of states at the Fermi level at 1.453 states/eV per atom. The energy above the most stable polymorph in this dataset is 251.7 meV/atom. The crystal system is trigonal. As for the mass density: 11.1 g/cm³.

***

No. 9
Here is a geometry-optimized YTa2Co structure from the Alexandria database. Energies are from GGA-PBE.

The structure belongs to space group P4mm (No. 99); the cell edges are 3.1051, 3.1051 and 7.8442 Å and the angles 90.00°, 90.00° and 90.00°. The inequivalent atoms are Y at (0.0000, 0.0000, 0.0000), Ta at (0.0000, 0.0000, 0.4328), Ta at (0.5000, 0.5000, 0.6839) and Co at (0.5000, 0.5000, 0.2724).

The calculation puts the total energy at -0.33993 Ha/atom. The value obtained for the total magnetization is 0.07 μB/f.u. The calculation puts the density of states at the Fermi level at 1.272 states/eV per atom. The energy above the most stable polymorph in this dataset is 0.0 meV/atom. The crystal system is tetragonal. As for the mass density: 11.2 g/cm³.

***

No. 10
Here is a geometry-optimized YTa2Co structure from the Alexandria database. Energies are from GGA-PBE.

The structure belongs to space group Cm (No. 8); the cell edges are 10.3966, 3.0720 and 5.4463 Å and the angles 90.00°, 118.46° and 90.00°. The inequivalent atoms are Y at (0.0000, 0.0000, 0.0000), Ta at (0.0933, 0.5000, 0.5723), Ta at (0.3103, 0.5000, 0.3584) and Co at (0.2759, 0.0000, 0.9809).

The calculation puts the total energy at -0.33500 Ha/atom. The value obtained for the total magnetization is 0.00 μB/f.u. The calculation puts the density of states at the Fermi level at 1.185 states/eV per atom. The energy above the most stable polymorph in this dataset is 134.1 meV/atom. The crystal system is monoclinic. As for the mass density: 11.1 g/cm³.

***

No. 11
Here is a geometry-optimized YTa4Co structure from the Alexandria database. Energies are from GGA-PBE.

The structure belongs to space group F-43m (No. 216); the cell edges are 7.8434, 7.8434 and 7.8434 Å and the angles 90.00°, 90.00° and 90.00°. The inequivalent atoms are Y at (0.0000, 0.0000, 0.0000), Ta at (0.1260, 0.1260, 0.3740) and Co at (0.2500, 0.2500, 0.7500).

The calculation puts the total energy at -0.35560 Ha/atom. The value obtained for the total magnetization is 0.85 μB/f.u. The calculation puts the density of states at the Fermi level at 0.774 states/eV per atom. The crystal system is cubic. As for the mass density: 12.0 g/cm³.

***

No. 12
Here is a geometry-optimized YTa2Co structure from the Alexandria database. Energies are from GGA-PBE.

The structure belongs to space group P2/m (No. 10); the cell edges are 3.0851, 4.7024 and 5.3018 Å and the angles 90.00°, 103.05° and 90.00°. The inequivalent atoms are Y at (0.0000, 0.0000, 0.0000), Ta at (0.3043, 0.5000, 0.7260) and Co at (0.5000, 0.0000, 0.5000).

The calculation puts the total energy at -0.32971 Ha/atom. The value obtained for the total magnetization is 0.60 μB/f.u. The calculation puts the density of states at the Fermi level at 1.104 states/eV per atom. The energy above the most stable polymorph in this dataset is 277.9 meV/atom. The crystal system is monoclinic. As for the mass density: 11.3 g/cm³.

***

Which formula does entry 6 have?
YTa2Co

***

mass density of number 6 (YTa2Co)?
11.5 g/cm³

***

Among the records above, which one has the highest density of states at the Fermi level?
Y3TaCo

***

What is the density of states at the Fermi level in the twelfth record?
1.104 states/eV per atom